Entry 1:
# Ca3SiSe GGA-PBEsol relaxed
# electronic total energy = -0.282 Ry per atom
# density = 2.487 g/cm3
# volume = 30.35 A^3/atom
# crystal system = cubic
data_Ca3SiSe
_cell_length_a 5.334
_cell_length_b 5.334
_cell_length_c 5.334
_cell_angle_alpha 90.00
_cell_angle_beta 90.00
_cell_angle_gamma 90.00
_space_group_name_H-M_alt 'P m -3 m'
_space_group_IT_number 221
_space_group_name_Hall '-P 4 2 3'
loop_
_atom_site_label
_atom_site_type_symbol
_atom_site_fract_x
_atom_site_fract_y
_atom_site_fract_z
_atom_site_occupancy
Ca1 Ca 0.000 0.000 0.500 1
Si1 Si 0.500 0.500 0.500 1
Se1 Se 0.000 0.000 0.000 1

Entry 2:
# Ba3SrCo4O12 GGA-PBEsol relaxed
# electronic total energy = -0.512 Ry per atom
# density = 6.123 g/cm3
# volume = 12.58 A^3/atom
# crystal system = orthorhombic
data_Ba3SrCo4O12
_cell_length_a 4.694
_cell_length_b 5.566
_cell_length_c 9.626
_cell_angle_alpha 90.00
_cell_angle_beta 90.00
_cell_angle_gamma 90.00
_space_group_name_H-M_alt 'P m m 2'
_space_group_IT_number 25
_space_group_name_Hall 'P 2 -2'
loop_
_atom_site_label
_atom_site_type_symbol
_atom_site_fract_x
_atom_site_fract_y
_atom_site_fract_z
_atom_site_occupancy
Ba1 Ba 0.000 0.000 0.000 1
Ba2 Ba 0.000 0.500 0.497 1
Ba3 Ba 0.500 0.500 0.831 1
Sr1 Sr 0.500 0.000 0.333 1
Co1 Co 0.249 0.000 0.661 1
Co2 Co 0.250 0.500 0.169 1
O1 O 0.000 0.000 0.511 1
O2 O 0.000 0.225 0.738 1
O3 O 0.000 0.273 0.243 1
O4 O 0.000 0.500 0.018 1
O5 O 0.500 0.000 0.811 1
O6 O 0.500 0.222 0.583 1
O7 O 0.500 0.272 0.096 1
O8 O 0.500 0.500 0.319 1

Entry 3:
# RbS2BrCl GGA-PBEsol relaxed
# electronic total energy = -0.205 Ry per atom
# density = 3.184 g/cm3
# volume = 27.64 A^3/atom
# crystal system = tetragonal
data_RbS2BrCl
_cell_length_a 4.792
_cell_length_b 4.792
_cell_length_c 6.018
_cell_angle_alpha 90.00
_cell_angle_beta 90.00
_cell_angle_gamma 90.00
_space_group_name_H-M_alt 'P 4/m m m'
_space_group_IT_number 123
_space_group_name_Hall '-P 4 2'
loop_
_atom_site_label
_atom_site_type_symbol
_atom_site_fract_x
_atom_site_fract_y
_atom_site_fract_z
_atom_site_occupancy
Rb1 Rb 0.000 0.000 0.000 1
S1 S 0.000 0.500 0.500 1
Br1 Br 0.500 0.500 0.500 1
Cl1 Cl 0.500 0.500 0.000 1

Entry 4:
# Rb3PdAu GGA-PBEsol relaxed
# formation enthalpy at 0 K = 0.355 eV per atom
# electronic total energy = -0.164 Ry per atom
# density = 3.848 g/cm3
# volume = 48.32 A^3/atom
# crystal system = cubic
data_Rb3PdAu
_cell_length_a 6.228
_cell_length_b 6.228
_cell_length_c 6.228
_cell_angle_alpha 90.00
_cell_angle_beta 90.00
_cell_angle_gamma 90.00
_space_group_name_H-M_alt 'P m -3 m'
_space_group_IT_number 221
_space_group_name_Hall '-P 4 2 3'
loop_
_atom_site_label
_atom_site_type_symbol
_atom_site_fract_x
_atom_site_fract_y
_atom_site_fract_z
_atom_site_occupancy
Rb1 Rb 0.000 0.000 0.500 1
Pd1 Pd 0.500 0.500 0.500 1
Au1 Au 0.000 0.000 0.000 1

Entry 5:
# MnBeNi6 GGA-PBEsol relaxed
# formation enthalpy at 0 K = -0.122 eV per atom
# electronic total energy = -0.475 Ry per atom
# density = 8.488 g/cm3
# volume = 10.18 A^3/atom
# crystal system = orthorhombic
data_MnBeNi6
_cell_length_a 6.860
_cell_length_b 9.751
_cell_length_c 9.736
_cell_angle_alpha 90.00
_cell_angle_beta 90.00
_cell_angle_gamma 90.00
_space_group_name_H-M_alt 'C m m m'
_space_group_IT_number 65
_space_group_name_Hall '-C 2 2'
loop_
_atom_site_label
_atom_site_type_symbol
_atom_site_fract_x
_atom_site_fract_y
_atom_site_fract_z
_atom_site_occupancy
Mn1 Mn 0.000 0.000 0.247 1
Mn2 Mn 0.000 0.247 0.500 1
Be1 Be 0.000 0.244 0.000 1
Be2 Be 0.000 0.500 0.246 1
Ni1 Ni 0.000 0.000 0.000 1
Ni2 Ni 0.000 0.000 0.500 1
Ni3 Ni 0.000 0.251 0.245 1
Ni4 Ni 0.000 0.500 0.000 1
Ni5 Ni 0.000 0.500 0.500 1
Ni6 Ni 0.245 0.374 0.122 1
Ni7 Ni 0.245 0.376 0.372 1

Entry 6:
# CsBeAsO4 GGA-PBEsol relaxed
# electronic total energy = -0.467 Ry per atom
# density = 4.341 g/cm3
# volume = 15.35 A^3/atom
# crystal system = orthorhombic
data_CsBeAsO4
_cell_length_a 9.428
_cell_length_b 8.845
_cell_length_c 5.152
_cell_angle_alpha 90.00
_cell_angle_beta 90.00
_cell_angle_gamma 90.00
_space_group_name_H-M_alt 'P n a 21'
_space_group_IT_number 33
_space_group_name_Hall 'P 2c -2n'
loop_
_atom_site_label
_atom_site_type_symbol
_atom_site_fract_x
_atom_site_fract_y
_atom_site_fract_z
_atom_site_occupancy
Cs1 Cs 0.006 0.184 0.000 1
Be1 Be 0.171 0.404 0.501 1
As1 As 0.175 0.585 0.999 1
O1 O 0.000 0.374 0.482 1
O2 O 0.223 0.440 0.796 1
O3 O 0.225 0.540 0.309 1
O4 O 0.239 0.244 0.401 1

Entry 7:
# MoPIr2 GGA-PBEsol relaxed
# formation enthalpy at 0 K = -0.308 eV per atom
# electronic total energy = -0.706 Ry per atom
# density = 15.292 g/cm3
# volume = 13.88 A^3/atom
# crystal system = orthorhombic
data_MoPIr2
_cell_length_a 3.807
_cell_length_b 2.819
_cell_length_c 10.346
_cell_angle_alpha 90.00
_cell_angle_beta 90.00
_cell_angle_gamma 90.00
_space_group_name_H-M_alt 'A m m 2'
_space_group_IT_number 38
_space_group_name_Hall 'A 2 -2'
loop_
_atom_site_label
_atom_site_type_symbol
_atom_site_fract_x
_atom_site_fract_y
_atom_site_fract_z
_atom_site_occupancy
Mo1 Mo 0.000 0.000 0.000 1
P1 P 0.500 0.000 0.397 1
Ir1 Ir 0.000 0.000 0.267 1
Ir2 Ir 0.500 0.000 0.625 1

Entry 8:
# Ho2TlHg GGA-PBEsol relaxed
# formation enthalpy at 0 K = -0.491 eV per atom
# electronic total energy = -0.277 Ry per atom
# density = 12.322 g/cm3
# volume = 24.76 A^3/atom
# crystal system = cubic
data_Ho2TlHg
_cell_length_a 7.344
_cell_length_b 7.344
_cell_length_c 7.344
_cell_angle_alpha 90.00
_cell_angle_beta 90.00
_cell_angle_gamma 90.00
_space_group_name_H-M_alt 'F m -3 m'
_space_group_IT_number 225
_space_group_name_Hall '-F 4 2 3'
loop_
_atom_site_label
_atom_site_type_symbol
_atom_site_fract_x
_atom_site_fract_y
_atom_site_fract_z
_atom_site_occupancy
Ho1 Ho 0.250 0.250 0.250 1
Tl1 Tl 0.000 0.000 0.000 1
Hg1 Hg 0.000 0.000 0.500 1